[1]
This record from Alexandria describes MoAs2P after structural relaxation. The functional is GGA-PBE.

Cell lengths 4.833, 4.833, 4.564 Å; angles 84.75, 84.75, 38.66 degrees
Element x y z (fractional)
As1 0.033 0.033 0.980
As2 0.467 0.467 0.520
P1 0.250 0.250 0.250
Mo1 0.750 0.750 0.750

Output
* raw total energy: -24.7 eV/cell
* space group: C2/m, No. 12
* calculated volume: 16.6 Å³ per atom
* D(E_F): 2.07 states/eV/cell

---

[2]
This record from Alexandria describes InSb2Au after structural relaxation. The functional is GGA-PBE.

Cell lengths 3.763, 3.763, 7.330 Å; angles 90.00, 90.00, 90.00 degrees
Element x y z (fractional)
In1 0.500 0.500 0.750
Sb1 0.000 0.000 0.450
Sb2 0.000 0.000 0.050
Au1 0.500 0.500 0.250

Output
* raw total energy: -13.8 eV/cell
* space group: P4/mmm, No. 123
* calculated volume: 26.0 Å³ per atom
* D(E_F): 2.61 states/eV/cell
* E_form (uncorrected): 0.118 eV per atom

---

[3]
This record from Alexandria describes SrAs2S after structural relaxation. The functional is GGA-PBE.

Cell lengths 8.425, 8.425, 6.592 Å; angles 50.28, 50.28, 90.00 degrees
Element x y z (fractional)
As1 0.875 0.826 0.750
As2 0.174 0.625 0.250
As3 0.576 0.125 0.250
As4 0.375 0.424 0.750
Sr1 0.750 0.250 0.500
Sr2 0.000 0.000 0.000
S1 0.500 0.500 0.000
S2 0.250 0.750 0.500

Output
* raw total energy: -32.2 eV/cell
* space group: I-42d, No. 122
* calculated volume: 25.0 Å³ per atom
* D(E_F): 3.97 states/eV/cell
* E_form (uncorrected): -0.251 eV per atom

---

[4]
This record from Alexandria describes TaPCl2F after structural relaxation. The functional is GGA-PBE.

Cell lengths 4.928, 4.928, 3.602 Å; angles 90.00, 90.00, 90.00 degrees
Element x y z (fractional)
F1 0.000 0.000 0.000
Cl1 0.000 0.500 0.000
Cl2 0.500 0.000 0.000
P1 0.000 0.000 0.500
Ta1 0.500 0.500 0.500

Output
* energy above the most stable polymorph in this dataset: 942.1 meV per atom
* raw total energy: -20.2 eV/cell
* space group: P4/mmm, No. 123
* calculated volume: 17.5 Å³ per atom
* D(E_F): 3.90 states/eV/cell
* E_form (uncorrected): 0.522 eV per atom